! CdInAs, optimized geometry, DFT GGA-PBE; values from VASP
&SYSTEM
  ibrav = 0, nat = 12, ntyp = 3
/
ATOMIC_SPECIES
Cd 112.41 Cd.upf
In 114.82 In.upf
As 74.92 As.upf
CELL_PARAMETERS angstrom
4.405 0.000 0.000
0.000 5.167 0.000
0.000 0.000 12.424
ATOMIC_POSITIONS angstrom
Cd 0.000 0.000 0.000
Cd 0.000 2.583 6.212
Cd 2.202 0.000 6.212
Cd 2.202 2.583 0.000
In 0.000 0.000 3.903
In 0.000 2.583 10.115
In 2.202 0.000 10.115
In 2.202 2.583 3.903
As 0.000 0.000 8.079
As 0.000 2.583 1.868
As 2.202 0.000 1.868
As 2.202 2.583 8.079
! Formation energy in eV per atom: 0.15
! Magnetic moment in μB/cell: 0.0
! Final energy in eV for the cell shown: -31.5